No. 1
# YInPd2

A relaxed YInPd2 crystal (PBE-GGA, Alexandria).

The structure belongs to space group P4/mmm (No. 123); the cell edges are 4.7289, 4.7289 and 3.5422 Å and the angles 90.00°, 90.00° and 90.00°. The distinct sites, in fractional coordinates, are Y at (0.0000, 0.0000, 0.0000), In at (0.5000, 0.5000, 0.0000) and Pd at (0.0000, 0.5000, 0.5000).

The formation energy is -0.71 eV/atom. As for the total moment: 0.00 Bohr magnetons per cell.

No. 2
# YIn5Pd6

A relaxed YIn5Pd6 crystal (PBE-GGA, Alexandria).

The structure belongs to space group P2/m (No. 10); the cell edges are 4.7043, 6.7857 and 7.3302 Å and the angles 90.00°, 108.22° and 90.00°. The distinct sites, in fractional coordinates, are Y at (0.0000, 0.0000, 0.0000), In at (0.0000, 0.5000, 0.0000), In at (0.3355, 0.0000, 0.6676), In at (0.3383, 0.5000, 0.6738), Pd at (0.1687, 0.2576, 0.3427) and Pd at (0.5000, 0.2589, 0.0000).

The formation energy is -0.60 eV/atom. As for the total moment: 0.00 Bohr magnetons per cell.

No. 3
# Y3InPd2

A relaxed Y3InPd2 crystal (PBE-GGA, Alexandria).

The structure belongs to space group P4/mmm (No. 123); the cell edges are 3.5565, 3.5565 and 11.1514 Å and the angles 90.00°, 90.00° and 90.00°. The distinct sites, in fractional coordinates, are Y at (0.0000, 0.0000, 0.0000), Y at (0.0000, 0.0000, 0.3108), In at (0.5000, 0.5000, 0.5000) and Pd at (0.5000, 0.5000, 0.1602).

The formation energy is -0.75 eV/atom. As for the total moment: 0.00 Bohr magnetons per cell.

No. 4
# Y3In2Pd3

A relaxed Y3In2Pd3 crystal (PBE-GGA, Alexandria).

The structure belongs to space group P6_3/mcm (No. 193); the cell edges are 8.4524, 8.4524 and 5.8467 Å and the angles 90.00°, 90.00° and 120.00°. The distinct sites, in fractional coordinates, are Y at (0.0000, 0.2724, 0.2500), In at (0.3333, 0.6667, 0.0000) and Pd at (0.0000, 0.3891, 0.7500).

The formation energy is -0.74 eV/atom. As for the total moment: 0.00 Bohr magnetons per cell.

No. 5
# YIn2Pd2

A relaxed YIn2Pd2 crystal (PBE-GGA, Alexandria).

The structure belongs to space group P4/mbm (No. 127); the cell edges are 7.8215, 7.8215 and 3.3641 Å and the angles 90.00°, 90.00° and 90.00°. The distinct sites, in fractional coordinates, are Y at (0.0000, 0.0000, 0.0000), In at (0.1583, 0.3417, 0.5000) and Pd at (0.1356, 0.6356, 0.0000).

The calculation puts the energy relative to the lowest polymorph listed for this composition at 11.09 kJ per mole of atoms. The formation energy is -0.55 eV/atom. As for the total moment: 0.00 Bohr magnetons per cell.

No. 6
# Y2In8Pd

A relaxed Y2In8Pd crystal (PBE-GGA, Alexandria).

The structure belongs to space group P4/mmm (No. 123); the cell edges are 4.6876, 4.6876 and 12.1175 Å and the angles 90.00°, 90.00° and 90.00°. The distinct sites, in fractional coordinates, are Y at (0.0000, 0.0000, 0.1888), In at (0.0000, 0.5000, 0.0000), In at (0.0000, 0.5000, 0.3734), In at (0.5000, 0.5000, 0.1914) and Pd at (0.0000, 0.0000, 0.5000).

The formation energy is -0.41 eV/atom. As for the total moment: 0.00 Bohr magnetons per cell.